DFT (PBE) results for crystalline Cs2TlSbTe4 at its relaxed geometry.

Properties
spin magnetization	0.00	μB/f.u.
formation energy without anion corrections	-3.922	eV/f.u.
energy	-3.09	eV/atom

CIF file:
```
data_Cs2TlSbTe4
_cell_length_a 7.1727
_cell_length_b 8.8588
_cell_length_c 13.5916
_cell_angle_alpha 83.87
_cell_angle_beta 74.70
_cell_angle_gamma 66.12
_symmetry_space_group_name_H-M 'P 1'
_symmetry_Int_Tables_number 1
loop_
_symmetry_equiv_pos_as_xyz
'x,y,z'
loop_
_atom_site_label
_atom_site_fract_x
_atom_site_fract_y
_atom_site_fract_z
Cs1 0.1845 0.0000 0.6311
Cs2 0.8155 0.0000 0.3689
Cs3 0.5655 0.5000 0.8689
Cs4 0.9345 0.5000 0.1311
Tl1 0.7500 0.5000 0.5000
Tl2 0.0000 0.0000 0.0000
Sb1 0.2500 0.5000 0.5000
Sb2 0.5000 0.0000 0.0000
Te1 0.2888 0.7898 0.1249
Te2 0.2035 0.2102 0.8751
Te3 0.9215 0.7898 0.8751
Te4 0.5863 0.2102 0.1249
Te5 0.4612 0.7102 0.3751
Te6 0.5465 0.2898 0.6249
Te7 0.8285 0.7102 0.6249
Te8 0.1637 0.2898 0.3751
```

=====

DFT (PBE) results for crystalline MnAgAu2 at its relaxed geometry.

Properties
energy of formation	116	meV/atom
spin magnetization	4.09	μB/f.u.
energy	-4.53	eV/atom

CIF file:
```
data_MnAgAu2
_cell_length_a 9.1160
_cell_length_b 9.1160
_cell_length_c 9.1160
_cell_angle_alpha 19.02
_cell_angle_beta 19.02
_cell_angle_gamma 19.02
_symmetry_space_group_name_H-M 'P 1'
_symmetry_Int_Tables_number 1
loop_
_symmetry_equiv_pos_as_xyz
'x,y,z'
loop_
_atom_site_label
_atom_site_fract_x
_atom_site_fract_y
_atom_site_fract_z
Ag1 0.7538 0.7538 0.7538
Au1 0.0001 0.0001 0.0001
Au2 0.2450 0.2450 0.2450
Mn1 0.5011 0.5011 0.5011
```

=====

DFT (PBE) results for crystalline Cs2KBi at its relaxed geometry.

Properties
energy of formation	-183	meV/atom
spin magnetization	0.02	μB/f.u.
energy	-1.85	eV/atom

CIF file:
```
data_Cs2KBi
_cell_length_a 6.0956
_cell_length_b 5.8520
_cell_length_c 5.8520
_cell_angle_alpha 90.00
_cell_angle_beta 90.00
_cell_angle_gamma 90.00
_symmetry_space_group_name_H-M 'P 1'
_symmetry_Int_Tables_number 1
loop_
_symmetry_equiv_pos_as_xyz
'x,y,z'
loop_
_atom_site_label
_atom_site_fract_x
_atom_site_fract_y
_atom_site_fract_z
Cs1 0.0000 0.0000 0.5000
Cs2 0.0000 0.5000 0.0000
K1 0.5000 0.5000 0.5000
Bi1 0.5000 0.0000 0.0000
```

=====

DFT (PBE) results for crystalline Cs3GaO3 at its relaxed geometry.

Properties
spin magnetization	0.10	μB/f.u.
formation energy without anion corrections	-10.574	eV/f.u.
ΔE to the lowest computed polymorph	0.0	meV/atom
energy	-4.43	eV/atom

CIF file:
```
data_Cs3GaO3
_cell_length_a 7.2832
_cell_length_b 7.2832
_cell_length_c 7.4201
_cell_angle_alpha 81.63
_cell_angle_beta 81.63
_cell_angle_gamma 115.41
_symmetry_space_group_name_H-M 'P 1'
_symmetry_Int_Tables_number 1
loop_
_symmetry_equiv_pos_as_xyz
'x,y,z'
loop_
_atom_site_label
_atom_site_fract_x
_atom_site_fract_y
_atom_site_fract_z
Cs1 0.6269 0.6269 0.6645
Cs2 0.7947 0.2053 0.5000
Cs3 0.2053 0.7947 0.5000
Cs4 0.7449 0.2551 0.0000
Cs5 0.2551 0.7449 0.0000
Cs6 0.3731 0.3731 0.3355
Ga1 0.8464 0.8464 0.1533
Ga2 0.1536 0.1536 0.8467
O1 0.8954 0.8954 0.8794
O2 0.6060 0.8557 0.2714
O3 0.8557 0.6060 0.2714
O4 0.1443 0.3940 0.7286
O5 0.3940 0.1443 0.7286
O6 0.1046 0.1046 0.1206
```

=====

DFT (PBE) results for crystalline AcPr3Zn4 at its relaxed geometry.

Properties
energy of formation	-279	meV/atom
spin magnetization	0.00	μB/f.u.
energy	-3.22	eV/atom

CIF file:
```
data_AcPr3Zn4
_cell_length_a 5.3128
_cell_length_b 7.5583
_cell_length_c 10.6232
_cell_angle_alpha 90.00
_cell_angle_beta 90.00
_cell_angle_gamma 90.00
_symmetry_space_group_name_H-M 'P 1'
_symmetry_Int_Tables_number 1
loop_
_symmetry_equiv_pos_as_xyz
'x,y,z'
loop_
_atom_site_label
_atom_site_fract_x
_atom_site_fract_y
_atom_site_fract_z
Pr1 0.0000 0.0000 0.0000
Pr2 0.0000 0.0000 0.5000
Pr3 0.4996 0.0000 0.7500
Pr4 0.5004 0.0000 0.2500
Pr5 0.4996 0.5000 0.7500
Pr6 0.5004 0.5000 0.2500
Ac1 0.0000 0.5000 0.0000
Ac2 0.0000 0.5000 0.5000
Zn1 0.5000 0.7607 0.0000
Zn2 0.5000 0.7607 0.5000
Zn3 0.5000 0.2393 0.0000
Zn4 0.5000 0.2393 0.5000
Zn5 0.9995 0.7606 0.7500
Zn6 0.0005 0.7606 0.2500
Zn7 0.0005 0.2394 0.2500
Zn8 0.9995 0.2394 0.7500
```

=====

DFT (PBE) results for crystalline Na3Cd2In at its relaxed geometry.

Properties
energy of formation	-64	meV/atom
spin magnetization	0.00	μB/f.u.
ΔE to the lowest computed polymorph	4.7	meV/atom
energy	-1.48	eV/atom

CIF file:
```
data_Na3Cd2In
_cell_length_a 5.8815
_cell_length_b 7.6190
_cell_length_c 7.6190
_cell_angle_alpha 103.40
_cell_angle_beta 90.00
_cell_angle_gamma 90.00
_symmetry_space_group_name_H-M 'P 1'
_symmetry_Int_Tables_number 1
loop_
_symmetry_equiv_pos_as_xyz
'x,y,z'
loop_
_atom_site_label
_atom_site_fract_x
_atom_site_fract_y
_atom_site_fract_z
Na1 0.7500 0.0638 0.9362
Na2 0.2500 0.9362 0.0638
Na3 0.7500 0.5920 0.0741
Na4 0.2500 0.4080 0.9259
Na5 0.7500 0.9259 0.4080
Na6 0.2500 0.0741 0.5920
Cd1 0.0000 0.3198 0.3198
Cd2 0.5000 0.6802 0.6802
Cd3 0.0000 0.6802 0.6802
Cd4 0.5000 0.3198 0.3198
In1 0.7500 0.3230 0.6770
In2 0.2500 0.6770 0.3230
```

=====

DFT (PBE) results for crystalline Ti2Be5Co2Cu at its relaxed geometry.

Properties
energy of formation	-149	meV/atom
spin magnetization	0.00	μB/f.u.
energy	-5.42	eV/atom

CIF file:
```
data_Ti2Be5Co2Cu
_cell_length_a 3.6524
_cell_length_b 7.7756
_cell_length_c 7.7756
_cell_angle_alpha 90.00
_cell_angle_beta 90.00
_cell_angle_gamma 90.00
_symmetry_space_group_name_H-M 'P 1'
_symmetry_Int_Tables_number 1
loop_
_symmetry_equiv_pos_as_xyz
'x,y,z'
loop_
_atom_site_label
_atom_site_fract_x
_atom_site_fract_y
_atom_site_fract_z
Ti1 0.0000 0.6743 0.1743
Ti2 0.0000 0.3257 0.8257
Ti3 0.0000 0.1743 0.3257
Ti4 0.0000 0.8257 0.6743
Be1 0.5000 0.2118 0.0634
Be2 0.5000 0.7882 0.9366
Be3 0.5000 0.0634 0.7882
Be4 0.5000 0.7118 0.4366
Be5 0.5000 0.9366 0.2118
Be6 0.5000 0.2882 0.5634
Be7 0.5000 0.5634 0.7118
Be8 0.5000 0.4366 0.2882
Be9 0.5000 0.5000 0.0000
Be10 0.5000 0.0000 0.5000
Co1 0.0000 0.1235 0.6235
Co2 0.0000 0.8765 0.3765
Co3 0.0000 0.6235 0.8765
Co4 0.0000 0.3765 0.1235
Cu1 0.0000 0.0000 0.0000
Cu2 0.0000 0.5000 0.5000
```

=====

DFT (PBE) results for crystalline Pu2ScMn at its relaxed geometry.

Properties
energy of formation	124	meV/atom
spin magnetization	8.83	μB/f.u.
ΔE to the lowest computed polymorph	0.0	meV/atom
energy	-10.92	eV/atom

CIF file:
```
data_Pu2ScMn
_cell_length_a 3.1915
_cell_length_b 3.1915
_cell_length_c 8.6131
_cell_angle_alpha 90.00
_cell_angle_beta 90.00
_cell_angle_gamma 90.00
_symmetry_space_group_name_H-M 'P 1'
_symmetry_Int_Tables_number 1
loop_
_symmetry_equiv_pos_as_xyz
'x,y,z'
loop_
_atom_site_label
_atom_site_fract_x
_atom_site_fract_y
_atom_site_fract_z
Sc1 0.5000 0.5000 0.0000
Mn1 0.5000 0.5000 0.5000
Pu1 0.0000 0.0000 0.7095
Pu2 0.0000 0.0000 0.2905
```

=====

DFT (PBE) results for crystalline K2MgCuPt at its relaxed geometry.

Properties
energy of formation	543	meV/atom
spin magnetization	0.00	μB/f.u.
energy	-2.24	eV/atom

CIF file:
```
data_K2MgCuPt
_cell_length_a 5.6679
_cell_length_b 5.0259
_cell_length_c 5.6679
_cell_angle_alpha 90.00
_cell_angle_beta 90.00
_cell_angle_gamma 90.00
_symmetry_space_group_name_H-M 'P 1'
_symmetry_Int_Tables_number 1
loop_
_symmetry_equiv_pos_as_xyz
'x,y,z'
loop_
_atom_site_label
_atom_site_fract_x
_atom_site_fract_y
_atom_site_fract_z
Mg1 0.0000 0.5000 0.0000
K1 0.0000 0.0000 0.5000
K2 0.5000 0.0000 0.0000
Cu1 0.0000 0.0000 0.0000
Pt1 0.5000 0.5000 0.5000
```

=====

DFT (PBE) results for crystalline V2SnAs2 at its relaxed geometry.

Properties
energy of formation	-123	meV/atom
spin magnetization	0.00	μB/f.u.
ΔE to the lowest computed polymorph	0.0	meV/atom
energy	-6.43	eV/atom

CIF file:
```
data_V2SnAs2
_cell_length_a 7.2708
_cell_length_b 7.2708
_cell_length_c 3.1744
_cell_angle_alpha 90.00
_cell_angle_beta 90.00
_cell_angle_gamma 90.00
_symmetry_space_group_name_H-M 'P 1'
_symmetry_Int_Tables_number 1
loop_
_symmetry_equiv_pos_as_xyz
'x,y,z'
loop_
_atom_site_label
_atom_site_fract_x
_atom_site_fract_y
_atom_site_fract_z
As1 0.1418 0.6418 0.5000
As2 0.6418 0.8582 0.5000
As3 0.8582 0.3582 0.5000
As4 0.3582 0.1418 0.5000
Sn1 0.0000 0.0000 0.0000
Sn2 0.5000 0.5000 0.0000
V1 0.3565 0.8565 0.0000
V2 0.8565 0.6435 0.0000
V3 0.6435 0.1435 0.0000
V4 0.1435 0.3565 0.0000
```

=====

DFT (PBE) results for crystalline Ac3Tb2 at its relaxed geometry.

Properties
energy of formation	105	meV/atom
spin magnetization	0.00	μB/f.u.
energy	-4.21	eV/atom

CIF file:
```
data_Ac3Tb2
_cell_length_a 7.6995
_cell_length_b 10.2362
_cell_length_c 10.2362
_cell_angle_alpha 90.00
_cell_angle_beta 90.00
_cell_angle_gamma 90.00
_symmetry_space_group_name_H-M 'P 1'
_symmetry_Int_Tables_number 1
loop_
_symmetry_equiv_pos_as_xyz
'x,y,z'
loop_
_atom_site_label
_atom_site_fract_x
_atom_site_fract_y
_atom_site_fract_z
Ac1 0.2500 0.0000 0.5000
Ac2 0.7500 0.0000 0.5000
Ac3 0.2500 0.5000 0.0000
Ac4 0.7500 0.5000 0.0000
Ac5 0.0000 0.3222 0.3222
Ac6 0.0000 0.6778 0.6778
Ac7 0.5000 0.1778 0.8222
Ac8 0.5000 0.8222 0.1778
Ac9 0.0000 0.1777 0.8223
Ac10 0.0000 0.8223 0.1777
Ac11 0.5000 0.6777 0.6777
Ac12 0.5000 0.3223 0.3223
Tb1 0.2501 0.1173 0.1173
Tb2 0.2501 0.8827 0.8827
Tb3 0.7501 0.3827 0.6173
Tb4 0.7501 0.6173 0.3827
Tb5 0.2499 0.3827 0.6173
Tb6 0.2499 0.6173 0.3827
Tb7 0.7499 0.1173 0.1173
Tb8 0.7499 0.8827 0.8827
```

=====

The lowest energy belongs to which entry? Pu2ScMn

=====

Which of these has the lowest energy? Pu2ScMn

=====

What did the eighth record say?
DFT (PBE) results for crystalline Pu2ScMn at its relaxed geometry.

Properties
energy of formation	124	meV/atom
spin magnetization	8.83	μB/f.u.
ΔE to the lowest computed polymorph	0.0	meV/atom
energy	-10.92	eV/atom

CIF file:
```
data_Pu2ScMn
_cell_length_a 3.1915
_cell_length_b 3.1915
_cell_length_c 8.6131
_cell_angle_alpha 90.00
_cell_angle_beta 90.00
_cell_angle_gamma 90.00
_symmetry_space_group_name_H-M 'P 1'
_symmetry_Int_Tables_number 1
loop_
_symmetry_equiv_pos_as_xyz
'x,y,z'
loop_
_atom_site_label
_atom_site_fract_x
_atom_site_fract_y
_atom_site_fract_z
Sc1 0.5000 0.5000 0.0000
Mn1 0.5000 0.5000 0.5000
Pu1 0.0000 0.0000 0.7095
Pu2 0.0000 0.0000 0.2905
```